[1]
An optimized crystal structure of In3RuSe, computed with PBE.

Computed properties:
- Excess energy over the best structure of this formula in the dataset: 0.946 eV per atom
- Fermi-level density of states: 0.79 states/eV per atom
- Energy: -3.10 eV/atom
- Theoretical density: 5.77 Mg/m³

a b c (Å): 5.3252 5.3252 5.3252
angles (deg): 90.00 90.00 90.00
Last column: magnetic moment on the atom in μB.
Positions (direct):
Ru (0.5000, 0.5000, 0.5000)  2.14
In (0.0000, 0.5000, 0.0000)  -0.04
In (0.5000, 0.0000, 0.0000)  -0.05
Se (0.0000, 0.0000, 0.0000)  -0.08
In (0.0000, 0.0000, 0.5000)  0.00

***

[2]
An optimized crystal structure of InRuSe2, computed with PBE.

Computed properties:
- Fermi-level density of states: 0.70 states/eV per atom
- Energy: -4.39 eV/atom
- Theoretical density: 8.33 Mg/m³

a b c (Å): 4.7917 4.7917 3.2460
angles (deg): 90.00 90.00 89.89
Positions (direct):
Se (0.5000, 0.5000, 0.0000)
In (0.5000, 0.0000, 0.5000)
Se (0.0000, 0.0000, 0.0000)
Ru (0.0000, 0.5000, 0.5000)

***

[3]
An optimized crystal structure of InRuSe2, computed with PBE.

Computed properties:
- Fermi-level density of states: 0.79 states/eV per atom
- Energy: -4.19 eV/atom
- Theoretical density: 8.19 Mg/m³

a b c (Å): 4.7495 4.7495 4.7495
angles (deg): 60.00 60.00 60.00
Positions (direct):
Se (0.2500, 0.2500, 0.2500)
Se (0.0000, 0.0000, 0.0000)
Ru (0.7500, 0.7500, 0.7500)
In (0.5000, 0.5000, 0.5000)